Record 1
PmAlNi2, relaxed, DFT PBE; SG = Pmmn, No. 59; electronic total energy = -43.422 eV for the cell shown
1.0
4.1757 0.0000 0.0000
0.0000 6.4740 0.0000
0.0000 0.0000 5.2597
Pm Al Ni
2 2 4
direct
0.2500 0.2500 0.1504 Pm
0.7500 0.7500 0.8496 Pm
0.2500 0.7500 0.3535 Al
0.7500 0.2500 0.6465 Al
0.2500 0.0541 0.6348 Ni
0.2500 0.4459 0.6348 Ni
0.7500 0.5541 0.3652 Ni
0.7500 0.9459 0.3652 Ni

=====

Record 2
LiLa2Bi4Au, relaxed, DFT PBE; SG = P-4m2, No. 115; electronic total energy = -37.110 eV for the cell shown
1.0
4.6232 0.0000 0.0000
0.0000 4.6232 0.0000
0.0000 0.0000 10.6234
Li La Bi Au
1 2 4 1
direct
0.0000 0.0000 0.0000 Li
0.0000 0.5000 0.2493 La
0.5000 0.0000 0.7507 La
0.0000 0.0000 0.5000 Bi
0.0000 0.5000 0.8280 Bi
0.5000 0.0000 0.1720 Bi
0.5000 0.5000 0.5000 Bi
0.5000 0.5000 0.0000 Au

=====

Record 3
RbMgTaPd, relaxed, DFT PBE; SG = F-43m, No. 216; electronic total energy = -14.404 eV for the cell shown
1.0
0.0000 3.5961 3.5961
3.5961 0.0000 3.5961
3.5961 3.5961 0.0000
Rb Mg Ta Pd
1 1 1 1
direct
0.0000 0.0000 0.0000 Rb
0.5000 0.5000 0.5000 Mg
0.2500 0.2500 0.2500 Ta
0.7500 0.7500 0.7500 Pd

=====

Record 4
Li2ZrGa2PdPt2, relaxed, DFT PBE; SG = P-4m2, No. 115; electronic total energy = -40.950 eV for the cell shown
1.0
4.4822 0.0000 0.0000
0.0000 4.4822 0.0000
0.0000 0.0000 6.2011
Li Zr Ga Pd Pt
2 1 2 1 2
direct
0.0000 0.5000 0.2080 Li
0.5000 0.0000 0.7920 Li
0.5000 0.5000 0.5000 Zr
0.0000 0.0000 0.5000 Ga
0.5000 0.5000 0.0000 Ga
0.0000 0.0000 0.0000 Pd
0.0000 0.5000 0.7343 Pt
0.5000 0.0000 0.2657 Pt

=====

Record 5
HfFeSnMo, relaxed, DFT PBE; SG = F-43m, No. 216; electronic total energy = -32.957 eV for the cell shown
1.0
0.0000 3.2298 3.2298
3.2298 0.0000 3.2298
3.2298 3.2298 0.0000
Hf Fe Sn Mo
1 1 1 1
direct
0.0000 0.0000 0.0000 Hf
0.7500 0.7500 0.7500 Fe
0.5000 0.5000 0.5000 Sn
0.2500 0.2500 0.2500 Mo

=====

Record 6
MgNiBiIr, relaxed, DFT PBE; SG = F-43m, No. 216; electronic total energy = -19.155 eV for the cell shown
1.0
0.0000 3.2478 3.2478
3.2478 0.0000 3.2478
3.2478 3.2478 0.0000
Mg Ni Bi Ir
1 1 1 1
direct
0.0000 0.0000 0.0000 Mg
0.5000 0.5000 0.5000 Ni
0.2500 0.2500 0.2500 Bi
0.7500 0.7500 0.7500 Ir